1.
Hg2OsBr | PBE | optimized geometry

Summary:
- uncorrected formation energy (eV/atom) = 0.70
- ΔE to the lowest computed polymorph (meV per atom) = 125

a = 3.1357 Å, b = 3.1357 Å, c = 30.8866 Å
α = 90.00°, β = 90.00°, γ = 120.00°
With the nearest neighbours (Å) after each atom.
Space group R3m (No. 160, hexagonal axes)
One atom of each set of equivalent atoms:
Hg  0.0000  0.0000  0.0000  9 Hg 3.14-3.36
Hg  0.0000  0.0000  0.2418  3 Os 2.89, 6 Hg 3.14
Os  0.0000  0.0000  0.5020  3 Br 2.57
Br  0.0000  0.0000  0.7761  3 Os 2.57



2.
LuVNiRh | PBE | optimized geometry

Summary:
- ΔH_f (0 K) (eV/f.u.) = -1.168

a = 6.3457 Å, b = 6.3457 Å, c = 6.3457 Å
α = 90.00°, β = 90.00°, γ = 90.00°
With the nearest neighbours (Å) after each atom.
Space group F-43m (No. 216)
One atom of each set of equivalent atoms:
Lu  0.0000  0.0000  0.0000  4 Ni 2.75, 4 Rh 2.75
V  0.0000  0.0000  0.5000  4 Ni 2.75, 4 Rh 2.75
Ni  0.2500  0.2500  0.7500  4 Lu 2.75, 4 V 2.75
Rh  0.2500  0.2500  0.2500  4 Lu 2.75, 4 V 2.75



3.
MgBe2Nb2Rh5 | PBE | optimized geometry

Summary:
- ΔH_f (0 K) (eV/f.u.) = -5.440

a = 9.4782 Å, b = 9.4782 Å, c = 3.0430 Å
α = 90.00°, β = 90.00°, γ = 90.00°
With the nearest neighbours (Å) after each atom.
Space group P4/mbm (No. 127)
One atom of each set of equivalent atoms:
Mg  0.0000  0.0000  0.0000  8 Rh 2.61
Be  0.1238  0.3762  0.0000  6 Rh 2.23-2.25
Nb  0.1761  0.6761  0.0000  3 Be 2.68-2.89, 10 Rh 2.81-2.96
Rh  0.0000  0.5000  0.5000  4 Be 2.25
Rh  0.0683  0.2132  0.5000  2 Be 2.23



4.
TmThS3 | PBE | optimized geometry

Summary:
- uncorrected formation energy (eV/atom) = -1.83
- ΔE to the lowest computed polymorph (meV per atom) = 162

a = 6.8032 Å, b = 4.3147 Å, c = 10.3515 Å
α = 90.00°, β = 103.50°, γ = 90.00°
With the nearest neighbours (Å) after each atom.
Space group P2_1/m (No. 11)
One atom of each set of equivalent atoms:
Tm  0.0307  0.2500  0.1565  5 S 2.61-2.70
Th  0.4982  0.2500  0.6646  6 S 2.81-2.83
S  0.2067  0.7500  0.0918  3 Tm 2.63-2.70, 1 Th 2.83
S  0.2731  0.2500  0.4001  1 Tm 2.67, 3 Th 2.81-2.83
S  0.2879  0.7500  0.7435  1 Tm 2.61, 2 Th 2.81



5.
LiZn4Au5 | PBE | optimized geometry

Summary:
- ΔH_f (0 K) (eV/f.u.) = -2.793
- ΔE to the lowest computed polymorph (meV per atom) = 0

a = 3.1937 Å, b = 3.1937 Å, c = 15.7017 Å
α = 90.00°, β = 90.00°, γ = 90.00°
With the nearest neighbours (Å) after each atom.
Space group P4/mmm (No. 123)
One atom of each set of equivalent atoms:
Li  0.0000  0.0000  0.0000  8 Au 2.71
Zn  0.0000  0.0000  0.1949  8 Au 2.74-2.78, 1 Li 3.06
Zn  0.0000  0.0000  0.3988  8 Au 2.76
Au  0.5000  0.5000  0.0957  4 Li 2.71, 4 Zn 2.74, 1 Au 3.01
Au  0.5000  0.5000  0.2977  8 Zn 2.76-2.78
Au  0.5000  0.5000  0.5000  8 Zn 2.76



6.
Sc2AgRh | PBE | optimized geometry

Summary:
- ΔH_f (0 K) (eV/f.u.) = -1.605

a = 3.2424 Å, b = 4.1356 Å, c = 5.7744 Å
α = 90.00°, β = 90.00°, γ = 90.00°
With the nearest neighbours (Å) after each atom.
Space group Pmm2 (No. 25)
One atom of each set of equivalent atoms:
Sc  0.0000  0.0000  0.0000  1 Ag 2.72, 4 Rh 2.73
Sc  0.5000  0.5000  0.3406  1 Rh 2.70, 4 Ag 2.85
Ag  0.0000  0.0000  0.5296  5 Sc 2.72-2.85
Rh  0.5000  0.5000  0.8727  5 Sc 2.70-2.73



7.
BaSn2Br2 | PBE | optimized geometry

Summary:
- uncorrected formation energy (eV/atom) = -0.55
- ΔE to the lowest computed polymorph (meV per atom) = 0

a = 8.6651 Å, b = 8.6651 Å, c = 5.6088 Å
α = 90.00°, β = 90.00°, γ = 90.00°
With the nearest neighbours (Å) after each atom.
Space group P4/mbm (No. 127)
One atom of each set of equivalent atoms:
Ba  0.0000  0.0000  0.0000  4 Sn 3.49
Sn  0.1144  0.3856  0.0000  1 Sn 2.80, 2 Br 2.96
Br  0.1912  0.3088  0.5000  2 Sn 2.96



8.
SmAlIn2S6 | PBE | optimized geometry

Summary:
- uncorrected formation energy (eV/atom) = -0.97

a = 13.2285 Å, b = 11.2494 Å, c = 7.3374 Å
α = 90.00°, β = 112.88°, γ = 90.00°
With the nearest neighbours (Å) after each atom.
Space group C2/c (No. 15)
One atom of each set of equivalent atoms:
Sm  0.0000  0.1578  0.2500  6 S 2.82-3.05
Al  0.0000  0.1770  0.7500  4 S 2.24-2.30
In  0.1820  0.4404  0.1885  4 S 2.45-2.56
S  0.1081  0.0568  0.6478  1 Al 2.30, 1 In 2.56
S  0.1241  0.2411  0.0390  1 Al 2.24, 1 In 2.48
S  0.1347  0.3853  0.4720  2 In 2.45-2.47



9.
Cr2AgAu | PBE | optimized geometry

Summary:
- ΔH_f (0 K) (eV/f.u.) = 2.106
- ΔE to the lowest computed polymorph (meV per atom) = 347

a = 6.4983 Å, b = 6.4983 Å, c = 6.4983 Å
α = 90.00°, β = 90.00°, γ = 90.00°
With the nearest neighbours (Å) after each atom.
Space group F-43m (No. 216)
One atom of each set of equivalent atoms:
Cr  0.0000  0.0000  0.0000  4 Cr 2.81, 4 Au 2.81
Cr  0.2500  0.2500  0.2500  4 Cr 2.81, 4 Ag 2.81
Ag  0.0000  0.0000  0.5000  4 Cr 2.81, 4 Au 2.81
Au  0.2500  0.2500  0.7500  4 Cr 2.81, 4 Ag 2.81



10.
Ac6Os2RuCl3 | PBE | optimized geometry

Summary:
- uncorrected formation energy (eV/atom) = -0.83

a = 7.4951 Å, b = 12.9825 Å, c = 8.2753 Å
α = 90.00°, β = 107.58°, γ = 90.00°
With the nearest neighbours (Å) after each atom.
Space group C2/m (No. 12)
One atom of each set of equivalent atoms:
Ac  0.2336  0.0000  0.2020  2 Os 2.96, 1 Ru 2.97
Ac  0.2343  0.3332  0.2020  2 Os 2.96, 1 Ru 2.97
Os  0.0000  0.1667  0.0000  6 Ac 2.96
Ru  0.0000  0.5000  0.0000  6 Ac 2.97
Cl  0.0000  0.0000  0.5000  6 Ac 3.43
Cl  0.0000  0.3336  0.5000  6 Ac 3.43



11.
LaZn2BRh2 | PBE | optimized geometry

Summary:
- ΔH_f (0 K) (eV/f.u.) = -3.438

a = 4.1649 Å, b = 4.1649 Å, c = 5.7743 Å
α = 90.00°, β = 90.00°, γ = 90.00°
With the nearest neighbours (Å) after each atom.
Space group P4/mmm (No. 123)
One atom of each set of equivalent atoms:
La  0.0000  0.0000  0.0000  2 B 2.89, 8 Zn 3.22
Zn  0.5000  0.5000  0.2238  1 Zn 2.58, 4 Rh 2.62
B  0.0000  0.0000  0.5000  4 Rh 2.08
Rh  0.0000  0.5000  0.5000  2 B 2.08



12.
AcH2PdF8 | PBE | optimized geometry

Summary:
- VASP energy (eV per atom) = -4.840

a = 4.2300 Å, b = 4.7922 Å, c = 8.7604 Å
α = 96.27°, β = 93.32°, γ = 113.69°
With the nearest neighbours (Å) after each atom.
Space group P-1 (No. 2)
One atom of each set of equivalent atoms:
Ac  0.0000  0.0000  0.0000  6 F 2.44-2.58
H  0.4697  0.4631  0.7349  1 F 1.01
Pd  0.0000  0.0000  0.5000  4 F 1.89-2.03
F  0.1532  0.2143  0.7217  1 H 1.38
F  0.2560  0.7649  0.5403  1 Pd 1.89
F  0.2966  0.3567  0.2564  1 H 1.01
F  0.3498  0.7003  0.0067  2 Ac 2.44-2.55, 2 H 2.64-2.69, 2 F 2.65-2.69



13.
Ba5CaIn | PBE | optimized geometry

Summary:
- ΔH_f (0 K) (eV/f.u.) = -0.181

a = 10.0286 Å, b = 9.0149 Å, c = 16.2625 Å
α = 90.00°, β = 90.07°, γ = 90.00°
With the nearest neighbours (Å) after each atom.
Space group C2/c (No. 15)
One atom of each set of equivalent atoms:
Ba  0.0000  0.0651  0.2500  1 Ca 4.01, 8 Ba 4.08-4.19, 2 In 4.11
Ba  0.2146  0.3473  0.1049  1 In 3.61, 1 Ba 3.90, 1 Ca 4.04
Ba  0.2155  0.3468  0.3947  1 In 3.60, 1 Ba 3.91
Ca  0.0000  0.3792  0.7500  9 Ba 4.01-4.23
In  0.0000  0.0000  0.0000  4 Ba 3.60-3.61



14.
AlZnPt6 | PBE | optimized geometry

Summary:
- ΔH_f (0 K) (eV/f.u.) = -4.134

a = 3.9278 Å, b = 3.9278 Å, c = 7.8409 Å
α = 90.00°, β = 90.00°, γ = 90.00°
With the nearest neighbours (Å) after each atom.
Space group P4/mmm (No. 123)
One atom of each set of equivalent atoms:
Al  0.0000  0.0000  0.0000  12 Pt 2.76-2.78
Zn  0.0000  0.0000  0.5000  12 Pt 2.78-2.79
Pt  0.0000  0.5000  0.2469  2 Al 2.76, 8 Pt 2.76-2.79, 2 Zn 2.79
Pt  0.5000  0.5000  0.0000  8 Pt 2.76, 4 Al 2.78
Pt  0.5000  0.5000  0.5000  4 Zn 2.78, 8 Pt 2.79



15.
CeAl2Ni9 | PBE | optimized geometry

Summary:
- ΔH_f (0 K) (eV/f.u.) = -3.998
- ΔE to the lowest computed polymorph (meV per atom) = 32

a = 4.8117 Å, b = 4.8117 Å, c = 23.2025 Å
α = 90.00°, β = 90.00°, γ = 120.00°
With the nearest neighbours (Å) after each atom.
Space group R-3m (No. 166, hexagonal axes)
One atom of each set of equivalent atoms:
Ce  0.0000  0.0000  0.0000  6 Ni 2.78
Al  0.0000  0.0000  0.1449  12 Ni 2.70-2.82, 3 Al 2.96
Ni  0.0000  0.0000  0.3340  6 Ni 2.47
Ni  0.0000  0.0000  0.5000  6 Ni 2.31
Ni  0.0060  0.5030  0.9121  7 Ni 2.31-2.47



16.
MgGa4Rh5 | PBE | optimized geometry

Summary:
- ΔH_f (0 K) (eV/f.u.) = -7.040

a = 3.0448 Å, b = 3.0448 Å, c = 15.2863 Å
α = 90.00°, β = 90.00°, γ = 90.00°
With the nearest neighbours (Å) after each atom.
Space group P4/mmm (No. 123)
One atom of each set of equivalent atoms:
Mg  0.0000  0.0000  0.0000  8 Rh 2.72, 4 Mg 3.04
Ga  0.0000  0.0000  0.1994  8 Rh 2.56-2.68
Ga  0.0000  0.0000  0.4000  8 Rh 2.61-2.64
Rh  0.5000  0.5000  0.1087  4 Ga 2.56, 4 Mg 2.72
Rh  0.5000  0.5000  0.3034  8 Ga 2.61-2.68
Rh  0.5000  0.5000  0.5000  8 Ga 2.64



17.
TlOs2Pt | PBE | optimized geometry

Summary:
- ΔH_f (0 K) (eV/f.u.) = 3.175
- ΔE to the lowest computed polymorph (meV per atom) = 407

a = 2.8814 Å, b = 2.8814 Å, c = 27.6963 Å
α = 90.00°, β = 90.00°, γ = 120.00°
With the nearest neighbours (Å) after each atom.
Space group R-3m (No. 166, hexagonal axes)
One atom of each set of equivalent atoms:
Tl  0.0000  0.0000  0.0000  6 Tl 2.88, 6 Os 2.96
Os  0.0000  0.0000  0.2447  3 Pt 2.73, 6 Os 2.88, 3 Tl 2.96
Pt  0.0000  0.0000  0.5000  6 Os 2.73, 6 Pt 2.88



18.
PrSm2TmTe6 | PBE | optimized geometry

Summary:
- uncorrected formation energy (eV/atom) = -1.36

a = 7.8407 Å, b = 7.8407 Å, c = 21.3410 Å
α = 90.00°, β = 90.00°, γ = 120.00°
With the nearest neighbours (Å) after each atom.
Space group R3 (No. 146, hexagonal axes)
One atom of each set of equivalent atoms:
Pr  0.0000  0.0000  0.0000  6 Te 3.16-3.23
Sm  0.0000  0.0000  0.3079  6 Te 3.13-3.17
Sm  0.0000  0.0000  0.8105  6 Te 3.11-3.18
Tm  0.0000  0.0000  0.4967  6 Te 3.05-3.07
Te  0.0042  0.6982  0.4057  1 Tm 3.07, 2 Sm 3.11-3.17, 1 Pr 3.16
Te  0.0216  0.3446  0.5699  1 Tm 3.05, 2 Sm 3.13-3.18, 1 Pr 3.23



19.
BeSiMoPt | PBE | optimized geometry

Summary:
- uncorrected formation energy (eV/atom) = -0.33

a = 5.9048 Å, b = 5.9048 Å, c = 5.9048 Å
α = 90.00°, β = 90.00°, γ = 90.00°
With the nearest neighbours (Å) after each atom.
Space group F-43m (No. 216)
One atom of each set of equivalent atoms:
Be  0.0000  0.0000  0.0000  4 Mo 2.56, 4 Pt 2.56
Si  0.0000  0.0000  0.5000  4 Pt 2.56, 4 Mo 2.56
Mo  0.2500  0.2500  0.7500  4 Be 2.56, 4 Si 2.56
Pt  0.2500  0.2500  0.2500  4 Be 2.56, 4 Si 2.56



20.
PaFe4Pd | PBE | optimized geometry

Summary:
- ΔH_f (0 K) (eV/f.u.) = -0.787

a = 7.0516 Å, b = 7.0516 Å, c = 7.0516 Å
α = 90.00°, β = 90.00°, γ = 90.00°
With the nearest neighbours (Å) after each atom.
Space group F-43m (No. 216)
One atom of each set of equivalent atoms:
Pa  0.0000  0.0000  0.0000  12 Fe 2.93, 4 Pd 3.05
Fe  0.1241  0.1241  0.3759  6 Fe 2.47-2.51
Pd  0.2500  0.2500  0.7500  12 Fe 2.92, 4 Pa 3.05



21.
CaY2TiN4 | PBE | optimized geometry

Summary:
- uncorrected formation energy (eV/atom) = -1.44

a = 3.4357 Å, b = 11.7661 Å, c = 11.9503 Å
α = 90.00°, β = 90.00°, γ = 90.00°
With the nearest neighbours (Å) after each atom.
Space group Cmcm (No. 63)
One atom of each set of equivalent atoms:
Ca  0.0000  0.1065  0.2500  6 N 2.74-2.78
Y  0.0000  0.3707  0.0373  5 N 2.33-2.52
Ti  0.0000  0.1632  0.7500  4 N 1.88-2.01
N  0.0000  0.0000  0.0000  4 Y 2.34
N  0.0000  0.2587  0.6237  1 Ti 1.88
N  0.0000  0.4249  0.2500  2 Ti 2.01



22.
Na2CaCdF6 | PBE | optimized geometry

Summary:
- uncorrected formation energy (eV/atom) = -2.91

a = 5.8335 Å, b = 6.0176 Å, c = 10.2406 Å
α = 90.00°, β = 124.38°, γ = 90.00°
With the nearest neighbours (Å) after each atom.
Space group P2_1/c (No. 14)
One atom of each set of equivalent atoms:
Na  0.2426  0.0503  0.2480  4 F 2.30-2.37
Ca  0.5000  0.0000  0.0000  6 F 2.25-2.29
Cd  0.0000  0.0000  0.5000  6 F 2.25-2.31
F  0.1098  0.1826  0.9321  1 Cd 2.25, 1 Ca 2.25, 1 Na 2.30
F  0.2484  0.6833  0.9282  1 Cd 2.25, 1 Ca 2.26, 1 Na 2.30
F  0.3823  0.0788  0.7508  1 Ca 2.29, 1 Cd 2.31, 2 Na 2.32-2.37